# 1
Here is V2IrOsPb after structural relaxation from the Alexandria database. Energies are from PBE.

Structure (extended XYZ):
```
5
Lattice="-3.102 0.739 -3.533 -0.937 -4.728 -0.167 -3.489 0.579 3.184" Properties=species:S:1:pos:R:3 pbc="T T T"
Os -0.468 -2.364 -0.083
Pb 0.000 0.000 0.000
V -1.551 0.370 -1.767
V -1.745 0.290 1.592
Ir -3.764 -1.705 -0.258
```

Properties
Energy of formation from the pure elements ... 2.66 eV per atom

***

# 2
Here is IrOsPd3 after structural relaxation from the Alexandria database. Energies are from PBE.

Structure (extended XYZ):
```
5
Lattice="4.712 0.000 0.000 0.000 4.712 0.000 0.000 0.000 4.712" Properties=species:S:1:pos:R:3 pbc="T T T"
Pd 0.000 2.356 0.000
Pd 2.356 0.000 0.000
Pd 0.000 0.000 2.356
Os 0.000 0.000 0.000
Ir 2.356 2.356 2.356
```

Properties
Energy of formation from the pure elements ... 1.87 eV per atom

***

# 3
Here is IrOsPd2 after structural relaxation from the Alexandria database. Energies are from PBE.

Structure (extended XYZ):
```
8
Lattice="7.101 0.000 0.000 0.000 7.101 0.000 3.551 3.551 2.599" Properties=species:S:1:pos:R:3 pbc="T T T"
Ir 7.101 3.551 1.299
Ir 0.000 0.000 0.000
Os 3.551 7.101 1.299
Os 3.551 3.551 0.000
Pd 8.877 8.795 1.949
Pd 5.244 1.775 0.650
Pd 5.326 5.408 1.949
Pd 1.857 5.326 0.650
```

Properties
Energy of formation from the pure elements ... 0.90 eV per atom

***

# 4
Here is IrOsPd2 after structural relaxation from the Alexandria database. Energies are from PBE.

Structure (extended XYZ):
```
4
Lattice="0.000 3.104 3.104 3.104 0.000 3.104 3.104 3.104 0.000" Properties=species:S:1:pos:R:3 pbc="T T T"
Pd 1.552 1.552 1.552
Pd 4.657 4.657 4.657
Ir 3.104 3.104 3.104
Os 0.000 0.000 0.000
```

Properties
Energy of formation from the pure elements ... 0.56 eV per atom

***

# 5
Here is IrOsPd after structural relaxation from the Alexandria database. Energies are from PBE.

Structure (extended XYZ):
```
3
Lattice="-0.108 2.431 -1.268 -1.843 0.875 1.834 5.328 0.328 3.144" Properties=species:S:1:pos:R:3 pbc="T T T"
Pd 0.019 0.009 0.015
Ir 2.827 1.286 2.226
Os 0.531 2.339 1.470
```

Properties
Energy of formation from the pure elements ... 0.13 eV per atom

***

# 6
Here is Ir3OsPd after structural relaxation from the Alexandria database. Energies are from PBE.

Structure (extended XYZ):
```
5
Lattice="-3.479 0.712 3.086 2.911 -1.088 3.532 1.248 4.521 0.365" Properties=species:S:1:pos:R:3 pbc="T T T"
Ir 0.624 2.261 0.182
Ir 1.455 -0.544 1.766
Ir -1.739 0.356 1.543
Pd 0.340 2.072 3.491
Os 0.000 0.000 0.000
```

Properties
Energy of formation from the pure elements ... 1.84 eV per atom

***

# 7
Here is Ir2OsPd after structural relaxation from the Alexandria database. Energies are from PBE.

Structure (extended XYZ):
```
8
Lattice="-4.485 -4.969 2.290 0.574 -3.372 -6.192 0.099 -5.583 -0.992" Properties=species:S:1:pos:R:3 pbc="T T T"
Os -3.171 -7.361 -0.327
Os 0.000 0.000 0.000
Ir -1.413 -7.195 -1.988
Ir -2.866 -5.099 0.490
Ir -0.018 -3.948 -3.913
Ir -3.327 -11.605 -4.378
Pd -0.641 -6.563 -4.568
Pd -1.955 -4.171 -1.951
```

Properties
Energy of formation from the pure elements ... 0.68 eV per atom

***

# 8
Here is Ir2OsPd after structural relaxation from the Alexandria database. Energies are from PBE.

Structure (extended XYZ):
```
4
Lattice="2.739 0.000 0.000 1.370 2.372 0.000 1.370 0.791 9.012" Properties=species:S:1:pos:R:3 pbc="T T T"
Ir 4.109 2.372 6.835
Ir 1.370 0.791 2.177
Pd 2.739 1.582 4.506
Os 0.000 0.000 0.000
```

Properties
Energy of formation from the pure elements ... 0.02 eV per atom

***

# 9
Here is IrOsPd after structural relaxation from the Alexandria database. Energies are from PBE.

Structure (extended XYZ):
```
6
Lattice="-1.900 2.404 2.379 1.904 -3.051 1.440 6.129 5.818 -0.985" Properties=species:S:1:pos:R:3 pbc="T T T"
Pd 3.042 3.908 1.644
Pd 3.091 1.264 1.192
Os 4.904 4.155 -0.282
Os 1.229 1.017 3.117
Ir 0.964 -0.180 0.952
Ir 5.169 5.351 1.884
```

Properties
Energy of formation from the pure elements ... 0.73 eV per atom

***

# 10
Here is Ir2OsPd after structural relaxation from the Alexandria database. Energies are from PBE.

Structure (extended XYZ):
```
4
Lattice="-3.953 0.651 1.832 -2.755 2.983 -1.708 -3.643 -1.314 -2.099" Properties=species:S:1:pos:R:3 pbc="T T T"
Pd 0.000 0.000 0.000
Os -5.176 1.160 -0.988
Ir -7.763 1.740 -1.482
Ir -2.588 0.580 -0.494
```

Properties
Energy of formation from the pure elements ... 0.55 eV per atom

***

# 11
Here is Ir2OsPd after structural relaxation from the Alexandria database. Energies are from PBE.

Structure (extended XYZ):
```
4
Lattice="2.741 0.000 0.000 0.000 2.741 0.000 0.000 0.000 7.813" Properties=species:S:1:pos:R:3 pbc="T T T"
Pd 1.371 1.371 3.907
Os 1.371 1.371 0.000
Ir 0.000 0.000 1.859
Ir 0.000 0.000 5.954
```

Properties
Energy of formation from the pure elements ... 0.04 eV per atom

***

# 12
Here is Ir2Os2Pd after structural relaxation from the Alexandria database. Energies are from PBE.

Structure (extended XYZ):
```
10
Lattice="7.548 0.000 0.000 0.000 7.548 0.000 0.000 0.000 2.733" Properties=species:S:1:pos:R:3 pbc="T T T"
Ir 0.933 2.841 0.000
Ir 6.615 4.707 0.000
Ir 2.841 6.615 0.000
Ir 4.707 0.933 0.000
Os 5.071 6.251 1.367
Os 2.477 1.297 1.367
Os 6.251 2.477 1.367
Os 1.297 5.071 1.367
Pd 0.000 0.000 0.000
Pd 3.774 3.774 0.000
```

Properties
Energy of formation from the pure elements ... 0.34 eV per atom

***

# 13
Here is IrOsPd after structural relaxation from the Alexandria database. Energies are from PBE.

Structure (extended XYZ):
```
6
Lattice="-1.882 -0.588 -1.917 -0.356 -0.860 2.587 -6.530 11.431 2.904" Properties=species:S:1:pos:R:3 pbc="T T T"
Ir -6.574 9.051 1.705
Ir -2.687 3.057 1.700
Pd -6.321 6.316 2.296
Pd -4.314 5.101 0.698
Os -7.130 10.829 3.678
Os -3.016 0.551 0.820
```

Properties
Energy of formation from the pure elements ... 0.02 eV per atom

***

# 14
Here is IrOsPd after structural relaxation from the Alexandria database. Energies are from PBE.

Structure (extended XYZ):
```
3
Lattice="-0.631 -2.646 0.297 2.414 0.719 -1.068 2.736 0.043 6.212" Properties=species:S:1:pos:R:3 pbc="T T T"
Os 1.314 -1.510 1.955
Ir 3.195 -0.374 3.464
Pd 0.010 0.000 0.022
```

Properties
Energy of formation from the pure elements ... 0.10 eV per atom

***

# 15
Here is IrOsPd2 after structural relaxation from the Alexandria database. Energies are from PBE.

Structure (extended XYZ):
```
4
Lattice="-0.386 1.253 -2.437 -2.494 0.999 -0.662 1.208 8.611 2.666" Properties=species:S:1:pos:R:3 pbc="T T T"
Os -0.447 2.611 -0.158
Ir -2.879 2.258 -3.096
Pd -1.830 6.061 -1.307
Pd -0.305 7.359 0.690
```

Properties
Energy of formation from the pure elements ... 0.07 eV per atom

***

# 16
Here is Ir2OsPd after structural relaxation from the Alexandria database. Energies are from PBE.

Structure (extended XYZ):
```
4
Lattice="2.589 0.819 0.000 0.583 2.652 0.000 0.000 0.000 9.430" Properties=species:S:1:pos:R:3 pbc="T T T"
Ir 0.000 0.000 4.665
Ir 0.000 0.000 0.050
Pd 1.586 1.736 7.073
Os 1.586 1.736 2.358
```

Properties
Energy of formation from the pure elements ... 0.36 eV per atom

***

# 17
Here is IrOs2Pd after structural relaxation from the Alexandria database. Energies are from PBE.

Structure (extended XYZ):
```
8
Lattice="5.621 0.000 0.000 0.000 5.621 0.000 2.811 2.811 5.493" Properties=species:S:1:pos:R:3 pbc="T T T"
Pd 2.811 5.621 2.746
Pd 2.811 2.811 0.000
Os 4.274 1.405 1.373
Os 7.026 7.085 4.119
Os 1.347 4.216 1.373
Os 4.216 4.157 4.119
Ir 0.000 0.000 0.000
Ir 5.621 2.811 2.746
```

Properties
Energy of formation from the pure elements ... 1.41 eV per atom

***

# 18
Here is Ir2OsPdRu after structural relaxation from the Alexandria database. Energies are from PBE.

Structure (extended XYZ):
```
5
Lattice="-4.689 -0.386 0.213 0.083 -2.969 -3.565 0.433 -3.599 3.007" Properties=species:S:1:pos:R:3 pbc="T T T"
Ir 0.217 -1.800 1.504
Ir -2.345 -0.193 0.107
Pd -2.087 -3.477 -0.172
Ru 0.041 -1.484 -1.783
Os 0.000 0.000 0.000
```

Properties
Energy of formation from the pure elements ... 1.79 eV per atom

***

# 19
Here is Sb2IrOsPd after structural relaxation from the Alexandria database. Energies are from PBE.

Structure (extended XYZ):
```
5
Lattice="5.035 0.000 0.000 0.000 4.823 0.000 0.000 0.000 5.035" Properties=species:S:1:pos:R:3 pbc="T T T"
Ir 0.000 2.411 0.000
Sb 0.000 0.000 2.518
Sb 2.518 0.000 0.000
Os 0.000 0.000 0.000
Pd 2.518 2.411 2.518
```

Properties
Uncorrected formation energy ... 5.6 eV/f.u.

***

# 20
Here is IrOs2PdSe after structural relaxation from the Alexandria database. Energies are from PBE.

Structure (extended XYZ):
```
5
Lattice="-1.710 3.627 -2.013 -3.503 -0.055 2.877 2.277 2.640 2.824" Properties=species:S:1:pos:R:3 pbc="T T T"
Ir -1.468 3.106 1.844
Pd -1.751 -0.028 1.438
Os 1.139 1.320 1.412
Os -0.855 1.814 -1.006
Se 0.000 0.000 0.000
```

Properties
Uncorrected formation energy ... 8.5 eV/f.u.

***

# 21
Here is SrIrOs2Pd after structural relaxation from the Alexandria database. Energies are from PBE.

Structure (extended XYZ):
```
5
Lattice="-2.223 4.248 -0.006 -4.109 -2.152 -1.105 -0.987 -0.510 4.664" Properties=species:S:1:pos:R:3 pbc="T T T"
Ir -3.660 0.793 1.776
Pd -2.055 -1.076 -0.552
Os -0.493 -0.255 2.332
Os -1.111 2.124 -0.003
Sr 0.000 0.000 0.000
```

Properties
Energy of formation from the pure elements ... 3.30 eV per atom

***

# 22
Here is Pm5IrOs2 after structural relaxation from the Alexandria database. Energies are from PBE.

Structure (extended XYZ):
```
16
Lattice="6.810 0.000 -3.214 -1.517 6.638 -3.214 0.073 0.091 8.974" Properties=species:S:1:pos:R:3 pbc="T T T"
Ir 4.006 5.024 -0.334
Ir 1.359 1.705 2.880
Pm 5.881 3.106 -2.024
Pm 1.210 0.304 5.720
Pm 0.000 0.000 0.000
Pm 4.399 1.247 3.656
Pm 4.155 6.425 -3.174
Pm -0.516 3.623 4.569
Pm 0.966 5.483 -1.111
Pm 2.646 3.319 -3.214
Pm 2.692 2.164 0.040
Pm 2.673 4.566 2.506
Os 4.019 0.770 -2.353
Os 1.274 5.868 -4.076
Os 0.207 2.549 -1.607
Os 5.085 4.089 -4.822
```

Properties
Energy of formation from the pure elements ... -0.26 eV per atom

***

# 23
Here is Pm6IrOs2 after structural relaxation from the Alexandria database. Energies are from PBE.

Structure (extended XYZ):
```
18
Lattice="-6.501 1.281 1.652 -2.082 -1.379 -7.124 -1.427 -9.409 2.239" Properties=species:S:1:pos:R:3 pbc="T T T"
Pm -1.814 -0.934 -1.928
Pm -4.397 -7.318 -1.735
Pm -5.445 -4.777 1.156
Pm -5.613 -2.189 -1.498
Pm -6.063 -8.125 1.962
Pm -8.196 -8.573 -1.305
Pm -7.590 -5.233 -2.151
Pm -2.263 -6.995 1.578
Pm -3.947 -1.382 -5.196
Pm -4.565 -4.730 -4.389
Pm -2.420 -4.274 -1.082
Pm -7.748 -2.511 -4.812
Os -3.601 -1.816 0.484
Os -1.883 -3.254 -3.739
Os -8.127 -6.252 0.506
Os -6.410 -7.691 -3.718
Ir -4.292 -0.049 -2.736
Ir -0.713 -4.704 1.119
```

Properties
Energy of formation from the pure elements ... -0.19 eV per atom

***

# 24
Here is Pm4IrOs after structural relaxation from the Alexandria database. Energies are from PBE.

Structure (extended XYZ):
```
12
Lattice="-7.396 0.313 2.766 5.336 -2.378 5.321 1.988 7.327 -2.191" Properties=species:S:1:pos:R:3 pbc="T T T"
Pm -1.066 1.493 0.133
Pm 1.697 0.980 2.946
Pm -2.099 0.490 4.139
Pm 4.607 2.946 4.189
Pm -1.787 4.269 2.943
Pm -4.352 6.136 0.482
Pm -4.660 2.328 1.716
Pm 2.037 4.781 1.719
Ir -1.545 -1.550 6.067
Ir -2.704 3.819 0.289
Os -0.513 -0.515 2.016
Os -3.732 2.789 4.324
```

Properties
Energy of formation from the pure elements ... -0.26 eV per atom

***

# 25
Here is Pm8Ir2Os after structural relaxation from the Alexandria database. Energies are from PBE.

Structure (extended XYZ):
```
11
Lattice="-2.514 4.282 0.278 -5.931 -3.553 1.077 4.651 -0.677 7.991" Properties=species:S:1:pos:R:3 pbc="T T T"
Pm -0.484 -0.522 3.665
Pm -0.509 -0.767 7.210
Pm -3.311 0.575 5.681
Pm -5.849 -0.798 3.888
Pm -3.286 0.820 2.136
Pm -4.490 -2.724 1.349
Pm 2.054 0.851 5.459
Pm 0.695 2.776 7.998
Ir -0.882 2.013 5.501
Ir -2.912 -1.960 3.846
Os -1.257 2.141 0.139
```

Properties
Energy of formation from the pure elements ... -0.31 eV per atom

***

# 26
Here is Pm2IrOs after structural relaxation from the Alexandria database. Energies are from PBE.

Structure (extended XYZ):
```
4
Lattice="4.964 0.000 0.000 2.482 4.299 0.000 2.482 1.433 4.053" Properties=species:S:1:pos:R:3 pbc="T T T"
Pm 2.482 1.433 1.013
Pm 7.446 4.299 3.040
Os 0.000 0.000 0.000
Ir 4.964 2.866 2.027
```

Properties
Energy of formation from the pure elements ... -0.20 eV per atom

***

Computed raw total energy (eV/cell) in order:
-28.76, -26.31, -53.75, -28.24, -24.89, -33.82, -62.85, -34.05, -46.21, -31.93, -33.99, -87.31, -50.43, -24.98, -30.19, -32.71, -61.72, -34.45, -27.89, -31.55, -21.70, -114.25, -123.05, -81.30, -70.36, -30.38